Record 1
## LaTb2TlHg4 (PBE-GGA)

Data for crystalline LaTb2TlHg4 at its relaxed geometry.

As for the symmetry: R-3m, No. 166. The magnetic moment comes out at 0.000 μB/atom.

a = 9.8136 Å, b = 9.8136 Å, c = 9.8136 Å
α = 30.64°, β = 30.64°, γ = 30.64°
Last column: nearest neighbours and their distance in Å.
Fractional positions:
La: 0.0000 0.0000 0.0000  8 Hg 3.26-3.36
Tb: 0.2365 0.2365 0.2365  7 Hg 3.06-3.32
Tb: 0.7635 0.7635 0.7635  7 Hg 3.06-3.32
Tl: 0.5000 0.5000 0.5000  8 Hg 3.27-3.38, 6 Tb 3.58
Hg: 0.1197 0.1197 0.1197  4 Tb 3.06-3.28, 3 Tl 3.27, 1 La 3.36
Hg: 0.3793 0.3793 0.3793  3 La 3.26, 3 Tb 3.32, 1 Tl 3.38, 3 Hg 3.64
Hg: 0.6207 0.6207 0.6207  3 La 3.26, 3 Tb 3.32, 1 Tl 3.38, 3 Hg 3.64
Hg: 0.8803 0.8803 0.8803  4 Tb 3.06-3.28, 3 Tl 3.27, 1 La 3.36

=====

Record 2
## LaTb2Tl2Hg2 (PBE-GGA)

Data for crystalline LaTb2Tl2Hg2 at its relaxed geometry.

As for the symmetry: R-3m, No. 166. The magnetic moment comes out at 0.000 μB/atom.

a = 9.5087 Å, b = 9.5087 Å, c = 9.5087 Å
α = 30.74°, β = 30.74°, γ = 30.74°
Last column: nearest neighbours and their distance in Å.
Fractional positions:
La: 0.0000 0.0000 0.0000  6 Tl 3.40, 2 Tb 3.64
Tb: 0.1339 0.1339 0.1339  3 Hg 3.02
Tb: 0.8661 0.8661 0.8661  3 Hg 3.02
Tl: 0.2684 0.2684 0.2684  3 Hg 3.10, 3 La 3.40, 3 Tb 3.46
Tl: 0.7316 0.7316 0.7316  3 Hg 3.10, 3 La 3.40, 3 Tb 3.46
Hg: 0.4373 0.4373 0.4373  3 Tb 3.02, 3 Tl 3.10
Hg: 0.5627 0.5627 0.5627  3 Tb 3.02, 3 Tl 3.10

=====

Record 3
## LaTb2TmHg4 (PBE-GGA)

Data for crystalline LaTb2TmHg4 at its relaxed geometry.

As for the symmetry: R-3m, No. 166. The magnetic moment comes out at 0.095 μB/atom.

a = 9.3311 Å, b = 9.3311 Å, c = 9.3311 Å
α = 32.99°, β = 32.99°, γ = 32.99°
Last column: nearest neighbours and their distance in Å.
Fractional positions:
La: 0.0000 0.0000 0.0000  8 Hg 3.30-3.39
Tb: 0.2483 0.2483 0.2483  8 Hg 3.18-3.50
Tb: 0.7517 0.7517 0.7517  8 Hg 3.18-3.50
Tm: 0.5000 0.5000 0.5000  8 Hg 3.16-3.23
Hg: 0.1280 0.1280 0.1280  4 Tb 3.18-3.26, 3 Tm 3.23, 1 La 3.39
Hg: 0.3806 0.3806 0.3806  1 Tm 3.16, 4 Tb 3.22-3.50, 3 La 3.30
Hg: 0.6194 0.6194 0.6194  1 Tm 3.16, 4 Tb 3.22-3.50, 3 La 3.30
Hg: 0.8720 0.8720 0.8720  4 Tb 3.18-3.26, 3 Tm 3.23, 1 La 3.39

=====

Record 4
## La2TbYHg2 (PBE-GGA)

Data for crystalline La2TbYHg2 at its relaxed geometry.

As for the symmetry: Pmc2_1, No. 26. The magnetic moment comes out at 0.000 μB/atom.

a = 5.2048 Å, b = 9.6643 Å, c = 7.1888 Å
α = 90.00°, β = 90.00°, γ = 90.00°
Last column: nearest neighbours and their distance in Å.
Fractional positions:
La: 0.0000 0.0569 0.0000  3 Hg 3.32-3.37, 4 La 3.60-3.68, 1 Tb 3.61
La: 0.0000 0.9431 0.5000  3 Hg 3.32-3.37, 4 La 3.60-3.68, 1 Tb 3.61
La: 0.5000 0.1715 0.3100  4 Hg 3.18-3.27
La: 0.5000 0.8285 0.8100  4 Hg 3.18-3.27
Tb: 0.0000 0.3295 0.6560  4 Hg 3.01-3.13
Tb: 0.0000 0.6705 0.1560  4 Hg 3.01-3.13
Y: 0.5000 0.4474 0.9694  3 Hg 3.16-3.28
Y: 0.5000 0.5526 0.4694  3 Hg 3.16-3.28
Hg: 0.0000 0.3634 0.2231  2 Tb 3.01-3.13, 2 La 3.26, 2 Y 3.28
Hg: 0.0000 0.6366 0.7231  2 Tb 3.01-3.13, 2 La 3.26, 2 Y 3.28
Hg: 0.5000 0.1638 0.7517  2 Tb 3.13, 1 Y 3.16, 4 La 3.18-3.32
Hg: 0.5000 0.8362 0.2517  2 Tb 3.13, 1 Y 3.16, 4 La 3.18-3.32

=====

Energy relative to the elements across the listed records, respectively: -8.781, -6.020, -10.808, -8.037 kcal/mol of atoms.